This record from Alexandria describes a relaxed structure of Na2HgPS4. The functional is PBE-GGA.

Properties
symmetry = P1, No. 1
N(E_F) = 0.781 states/eV/atom
formation energy from raw total energies = -0.50 eV per atom
size of the total moment = 0.082 μB per formula unit

Lattice parameters (Å, degrees): 6.074 6.077 7.346 114.49 114.39 89.96
Sites, in units of the cell vectors:
1 S 0.825 0.433 0.271
2 S 0.038 0.026 0.673
3 S 0.634 0.647 0.672
4 S 0.446 0.837 0.271
5 Hg 0.986 0.487 0.972
6 Na 0.236 0.236 0.472
7 Na 0.486 0.986 0.972
8 P 0.736 0.736 0.472

---

This record from Alexandria describes a relaxed structure of BC2. The functional is PBE-GGA.

Properties
calculated formation energy = 0.93 eV per formula unit
symmetry = Cm, No. 8
offset from the most stable computed form = 72 meV per atom
N(E_F) = 0.131 states/eV/atom
size of the total moment = 0.000 μB per formula unit

Lattice parameters (Å, degrees): 5.925 5.925 5.336 103.51 103.51 25.30
Sites, in units of the cell vectors:
1 C 0.911 0.911 0.711
2 C 0.000 0.000 0.519
3 C 0.251 0.251 0.869
4 C 0.579 0.579 0.551
5 C 0.333 0.333 0.147
6 C 0.336 0.336 0.680
7 C 0.589 0.589 0.027
8 C 0.671 0.671 0.827
9 B 0.897 0.897 0.252
10 B 0.650 0.650 0.328
11 B 0.019 0.019 0.962
12 B 0.264 0.264 0.377

---

This record from Alexandria describes a relaxed structure of CuF2. The functional is PBE-GGA.

Properties
symmetry = I4/mmm, No. 139
N(E_F) = 0.488 states/eV/atom
formation energy from raw total energies = -1.43 eV per atom
size of the total moment = 0.005 μB per formula unit

Lattice parameters (Å, degrees): 4.029 4.029 4.029 124.42 124.42 82.50
Sites, in units of the cell vectors:
1 F 0.500 0.000 0.500
2 F 0.000 0.500 0.500
3 Cu 0.000 0.000 0.000

---

This record from Alexandria describes a relaxed structure of Be2HgRh. The functional is PBE-GGA.

Properties
calculated formation energy = -0.71 eV per formula unit
symmetry = P4/mmm, No. 123
N(E_F) = 0.351 states/eV/atom
size of the total moment = 0.000 μB per formula unit

Lattice parameters (Å, degrees): 2.943 2.949 6.694 63.83 90.00 90.00
Sites, in units of the cell vectors:
1 Rh 0.500 0.750 0.750
2 Hg 0.500 0.250 0.250
3 Be 0.000 0.438 0.561
4 Be 0.000 0.062 0.939

---

This record from Alexandria describes a relaxed structure of YZn8. The functional is PBE-GGA.

Properties
calculated formation energy = -1.09 eV per formula unit
symmetry = I4/mmm, No. 139
N(E_F) = 0.304 states/eV/atom
size of the total moment = 0.000 μB per formula unit

Lattice parameters (Å, degrees): 6.385 6.385 6.385 96.08 96.08 142.00
Sites, in units of the cell vectors:
1 Zn 0.681 0.681 0.361
2 Zn 0.654 0.000 0.654
3 Zn 0.346 0.000 0.346
4 Zn 0.681 0.319 0.000
5 Zn 0.000 0.346 0.346
6 Zn 0.000 0.654 0.654
7 Zn 0.319 0.681 0.000
8 Zn 0.319 0.319 0.639
9 Y 0.000 0.000 0.000

---

This record from Alexandria describes a relaxed structure of SrCr2W. The functional is PBE-GGA.

Properties
calculated formation energy = 3.68 eV per formula unit
symmetry = Cm, No. 8
offset from the most stable computed form = 240 meV per atom
N(E_F) = 1.078 states/eV/atom
size of the total moment = 0.001 μB per formula unit

Lattice parameters (Å, degrees): 4.764 4.764 5.942 76.42 76.42 39.11
Sites, in units of the cell vectors:
1 Cr 0.009 0.009 0.994
2 Cr 0.703 0.703 0.881
3 W 0.292 0.292 0.118
4 Sr 0.495 0.495 0.508

---

This record from Alexandria describes a relaxed structure of Zr2NiRh. The functional is PBE-GGA.

Properties
calculated formation energy = -2.46 eV per formula unit
symmetry = Pm, No. 6
N(E_F) = 0.838 states/eV/atom
size of the total moment = 0.000 μB per formula unit

Lattice parameters (Å, degrees): 4.205 3.358 5.312 71.79 90.00 90.00
Sites, in units of the cell vectors:
1 Zr 0.500 0.265 0.344
2 Zr 0.000 0.984 0.909
3 Ni 0.000 0.714 0.447
4 Rh 0.500 0.538 0.800

---

This record from Alexandria describes a relaxed structure of Li3NdZn8. The functional is PBE-GGA.

Properties
calculated formation energy = -2.47 eV per formula unit
symmetry = R3m, No. 160
N(E_F) = 0.358 states/eV/atom
size of the total moment = 0.000 μB per formula unit

Lattice parameters (Å, degrees): 5.243 5.243 9.289 73.61 73.61 60.00
Sites, in units of the cell vectors:
1 Zn 0.943 0.440 0.176
2 Zn 0.440 0.440 0.176
3 Zn 0.937 0.937 0.695
4 Zn 0.432 0.937 0.695
5 Zn 0.186 0.186 0.441
6 Zn 0.689 0.689 0.934
7 Zn 0.440 0.943 0.176
8 Zn 0.937 0.432 0.695
9 Li 0.374 0.374 0.877
10 Li 0.491 0.491 0.527
11 Li 0.004 0.004 0.988
12 Nd 0.876 0.876 0.372

---

This record from Alexandria describes a relaxed structure of MgBrO2. The functional is PBE-GGA.

Properties
symmetry = R-3m, No. 166
offset from the most stable computed form = 921 meV per atom
N(E_F) = 0.564 states/eV/atom
formation energy from raw total energies = -0.29 eV per atom
size of the total moment = 0.000 μB per formula unit

Lattice parameters (Å, degrees): 4.257 4.257 4.257 61.63 61.63 61.63
Sites, in units of the cell vectors:
1 O 0.811 0.811 0.811
2 O 0.189 0.189 0.189
3 Mg 0.000 0.000 0.000
4 Br 0.500 0.500 0.500

---

This record from Alexandria describes a relaxed structure of GaAg3Cl. The functional is PBE-GGA.

Properties
symmetry = Pm-3m, No. 221
offset from the most stable computed form = 0 meV per atom
N(E_F) = 1.265 states/eV/atom
formation energy from raw total energies = 0.41 eV per atom
size of the total moment = 0.000 μB per formula unit

Lattice parameters (Å, degrees): 5.001 5.001 5.001 90.00 90.00 90.00
Sites, in units of the cell vectors:
1 Ag 0.500 0.000 0.000
2 Ag 0.000 0.000 0.500
3 Ag 0.000 0.500 0.000
4 Cl 0.500 0.500 0.500
5 Ga 0.000 0.000 0.000

---

This record from Alexandria describes a relaxed structure of CeY3Th2Bi6. The functional is PBE-GGA.

Properties
calculated formation energy = -9.35 eV per formula unit
symmetry = C2/m, No. 12
N(E_F) = 0.907 states/eV/atom
size of the total moment = 1.091 μB per formula unit

Lattice parameters (Å, degrees): 7.888 7.888 7.838 99.64 99.64 120.06
Last column: magnetic moment on the atom in μB.
Sites, in units of the cell vectors:
1 Bi 0.247 0.247 0.742  -0.01
2 Bi 0.419 0.086 0.258  -0.01
3 Bi 0.914 0.581 0.742  -0.01
4 Bi 0.581 0.914 0.742  -0.01
5 Bi 0.753 0.753 0.258  -0.01
6 Bi 0.086 0.419 0.258  -0.01
7 Y 0.167 0.833 0.500  0.00
8 Y 0.833 0.167 0.500  0.00
9 Y 0.500 0.500 0.500  0.00
10 Th 0.666 0.334 0.000  0.02
11 Th 0.334 0.666 0.000  0.02
12 Ce 0.000 0.000 0.000  0.92

---

This record from Alexandria describes a relaxed structure of ThGa8Au6. The functional is PBE-GGA.

Properties
calculated formation energy = -3.88 eV per formula unit
symmetry = R-3, No. 148
N(E_F) = 0.309 states/eV/atom
size of the total moment = 0.000 μB per formula unit

Lattice parameters (Å, degrees): 6.774 6.774 8.320 65.98 65.98 60.00
Sites, in units of the cell vectors:
1 Ga 0.644 0.644 0.067
2 Ga 0.857 0.190 0.607
3 Ga 0.346 0.857 0.607
4 Ga 0.143 0.810 0.393
5 Ga 0.190 0.346 0.607
6 Ga 0.356 0.356 0.933
7 Ga 0.810 0.654 0.393
8 Ga 0.654 0.143 0.393
9 Au 0.691 0.516 0.778
10 Au 0.309 0.484 0.222
11 Au 0.015 0.691 0.778
12 Au 0.516 0.015 0.778
13 Au 0.484 0.985 0.222
14 Au 0.985 0.309 0.222
15 Th 0.000 0.000 0.000

---

This record from Alexandria describes a relaxed structure of Mg2ZnIn. The functional is PBE-GGA.

Properties
calculated formation energy = -0.18 eV per formula unit
symmetry = I-4m2, No. 119
N(E_F) = 0.358 states/eV/atom
size of the total moment = 0.000 μB per formula unit

Lattice parameters (Å, degrees): 5.441 5.441 5.441 133.22 133.22 68.30
Sites, in units of the cell vectors:
1 Zn 0.500 0.500 0.000
2 Mg 0.000 0.000 0.000
3 Mg 0.250 0.750 0.500
4 In 0.750 0.250 0.500

---

This record from Alexandria describes a relaxed structure of PrNd2Si2. The functional is PBE-GGA.

Properties
symmetry = C2/m, No. 12
offset from the most stable computed form = 79 meV per atom
N(E_F) = 0.837 states/eV/atom
formation energy from raw total energies = -0.54 eV per atom
size of the total moment = 0.000 μB per formula unit

Lattice parameters (Å, degrees): 4.448 6.644 10.031 77.68 77.19 70.44
Sites, in units of the cell vectors:
1 Si 0.974 0.149 0.903
2 Si 0.893 0.657 0.556
3 Si 0.026 0.851 0.097
4 Si 0.107 0.343 0.444
5 Nd 0.486 0.341 0.687
6 Nd 0.680 0.726 0.913
7 Nd 0.320 0.274 0.087
8 Nd 0.514 0.659 0.313
9 Pr 0.219 0.918 0.644
10 Pr 0.781 0.082 0.356

---

This record from Alexandria describes a relaxed structure of LiHo4Hg3. The functional is PBE-GGA.

Properties
calculated formation energy = -2.89 eV per formula unit
symmetry = C2/m, No. 12
N(E_F) = 0.826 states/eV/atom
size of the total moment = 0.000 μB per formula unit

Lattice parameters (Å, degrees): 5.228 5.228 8.238 108.56 108.50 90.00
Sites, in units of the cell vectors:
1 Ho 0.375 0.375 0.750
2 Ho 0.125 0.125 0.250
3 Ho 0.625 0.625 0.250
4 Ho 0.875 0.875 0.750
5 Hg 0.255 0.755 0.509
6 Hg 0.745 0.245 0.491
7 Hg 0.000 0.500 0.000
8 Li 0.500 0.000 0.000

---

This record from Alexandria describes a relaxed structure of Er4SbRu. The functional is PBE-GGA.

Properties
symmetry = P2_1/c, No. 14
offset from the most stable computed form = 180 meV per atom
N(E_F) = 0.741 states/eV/atom
formation energy from raw total energies = -0.42 eV per atom
size of the total moment = 0.000 μB per formula unit

Lattice parameters (Å, degrees): 6.772 6.910 7.499 90.00 91.07 90.00
Sites, in units of the cell vectors:
1 Ru 0.000 0.500 0.500
2 Ru 0.500 0.000 0.500
3 Er 0.852 0.656 0.205
4 Er 0.331 0.339 0.360
5 Er 0.669 0.661 0.640
6 Er 0.831 0.161 0.360
7 Er 0.148 0.344 0.795
8 Er 0.352 0.844 0.205
9 Er 0.169 0.839 0.640
10 Er 0.648 0.156 0.795
11 Sb 0.500 0.500 0.000
12 Sb 0.000 0.000 0.000

---

This record from Alexandria describes a relaxed structure of Sc3As. The functional is PBE-GGA.

Properties
calculated formation energy = -2.05 eV per formula unit
symmetry = Pmmn, No. 59
N(E_F) = 1.220 states/eV/atom
size of the total moment = 0.002 μB per formula unit

Lattice parameters (Å, degrees): 4.812 5.754 5.871 90.00 90.00 90.00
Sites, in units of the cell vectors:
1 Sc 0.000 0.144 0.743
2 Sc 0.500 0.856 0.757
3 Sc 0.500 0.376 0.000
4 Sc 0.500 0.856 0.243
5 Sc 0.000 0.624 0.500
6 Sc 0.000 0.144 0.257
7 As 0.500 0.336 0.500
8 As 0.000 0.664 0.000

---

This record from Alexandria describes a relaxed structure of MgSc2Zn4. The functional is PBE-GGA.

Properties
calculated formation energy = -0.57 eV per formula unit
symmetry = R-3m, No. 166
N(E_F) = 0.740 states/eV/atom
size of the total moment = 0.000 μB per formula unit

Lattice parameters (Å, degrees): 4.600 4.600 7.937 73.16 73.16 60.00
Sites, in units of the cell vectors:
1 Sc 0.252 0.252 0.244
2 Sc 0.748 0.748 0.756
3 Zn 0.381 0.381 0.858
4 Zn 0.619 0.619 0.142
5 Zn 0.872 0.872 0.383
6 Zn 0.128 0.128 0.617
7 Mg 0.000 0.000 0.000

---

This record from Alexandria describes a relaxed structure of TbPrSCl. The functional is PBE-GGA.

Properties
symmetry = Cm, No. 8
N(E_F) = 0.699 states/eV/atom
formation energy from raw total energies = -1.63 eV per atom
size of the total moment = 0.000 μB per formula unit

Lattice parameters (Å, degrees): 3.895 3.899 7.743 90.00 104.49 120.03
Sites, in units of the cell vectors:
1 S 0.125 0.960 0.100
2 Pr 0.940 0.368 0.323
3 Tb 0.327 0.561 0.904
4 Cl 0.486 0.141 0.642

---

This record from Alexandria describes a relaxed structure of CaPSe2. The functional is PBE-GGA.

Properties
symmetry = P4mm, No. 99
N(E_F) = 0.226 states/eV/atom
formation energy from raw total energies = -0.76 eV per atom
size of the total moment = 0.000 μB per formula unit

Lattice parameters (Å, degrees): 4.101 4.101 5.804 90.00 90.00 90.00
Sites, in units of the cell vectors:
1 Ca 0.000 0.000 0.371
2 P 0.500 0.500 0.832
3 Se 0.500 0.500 0.430
4 Se 0.000 0.000 0.867

---

This record from Alexandria describes a relaxed structure of Ca2BeGe2Au4. The functional is PBE-GGA.

Properties
calculated formation energy = -3.72 eV per formula unit
symmetry = I4/mmm, No. 139
N(E_F) = 0.406 states/eV/atom
size of the total moment = 0.000 μB per formula unit

Lattice parameters (Å, degrees): 6.247 6.247 6.247 93.94 117.75 117.75
Sites, in units of the cell vectors:
1 Ge 0.000 0.298 0.298
2 Ge 0.000 0.702 0.702
3 Ca 0.500 0.250 0.750
4 Ca 0.500 0.750 0.250
5 Au 0.488 0.744 0.744
6 Au 0.000 0.256 0.744
7 Au 0.512 0.256 0.256
8 Au 0.000 0.744 0.256
9 Be 0.000 0.000 0.000

---

This record from Alexandria describes a relaxed structure of Tl2CoRu. The functional is PBE-GGA.

Properties
calculated formation energy = 3.06 eV per formula unit
symmetry = C2/m, No. 12
offset from the most stable computed form = 301 meV per atom
N(E_F) = 1.520 states/eV/atom
size of the total moment = 2.120 μB per formula unit

Lattice parameters (Å, degrees): 5.265 5.265 3.081 77.41 77.41 109.71
Last column: magnetic moment on the atom in μB.
Sites, in units of the cell vectors:
1 Tl 0.500 0.500 0.000  -0.02
2 Tl 0.000 0.000 0.000  -0.02
3 Ru 0.000 0.500 0.500  0.70
4 Co 0.500 0.000 0.500  1.51

---

This record from Alexandria describes a relaxed structure of InCu2As. The functional is PBE-GGA.

Properties
calculated formation energy = 0.88 eV per formula unit
symmetry = P4/mmm, No. 123
N(E_F) = 0.426 states/eV/atom
size of the total moment = 0.000 μB per formula unit

Lattice parameters (Å, degrees): 4.836 4.836 2.885 90.00 90.00 90.00
Sites, in units of the cell vectors:
1 In 0.500 0.000 0.500
2 Cu 0.500 0.500 0.000
3 Cu 0.000 0.000 0.000
4 As 0.000 0.500 0.500

---

This record from Alexandria describes a relaxed structure of Hf3Zn8Cu. The functional is PBE-GGA.

Properties
calculated formation energy = -1.44 eV per formula unit
symmetry = R3m, No. 160
N(E_F) = 0.594 states/eV/atom
size of the total moment = 1.319 μB per formula unit

Lattice parameters (Å, degrees): 5.145 5.145 8.885 73.17 73.17 60.00
Last column: magnetic moment on the atom in μB.
Sites, in units of the cell vectors:
1 Hf 0.003 0.003 0.990  0.36
2 Hf 0.624 0.624 0.127  0.39
3 Hf 0.498 0.498 0.505  0.07
4 Zn 0.562 0.063 0.813  0.01
5 Zn 0.061 0.564 0.313  0.01
6 Zn 0.063 0.562 0.813  0.01
7 Zn 0.562 0.562 0.813  0.01
8 Zn 0.061 0.061 0.313  0.01
9 Zn 0.564 0.061 0.313  0.01
10 Zn 0.813 0.813 0.562  0.01
11 Zn 0.312 0.312 0.063  0.00
12 Cu 0.125 0.125 0.624  0.01

---

This record from Alexandria describes a relaxed structure of Th4GaSbSe2. The functional is PBE-GGA.

Properties
symmetry = P2/m, No. 10
N(E_F) = 0.659 states/eV/atom
formation energy from raw total energies = -1.10 eV per atom
size of the total moment = 0.000 μB per formula unit

Lattice parameters (Å, degrees): 4.348 7.316 7.649 70.21 90.00 90.00
Sites, in units of the cell vectors:
1 Se 0.500 0.000 0.500
2 Se 0.000 0.000 0.000
3 Th 0.000 0.762 0.732
4 Th 0.500 0.750 0.264
5 Th 0.500 0.250 0.736
6 Th 0.000 0.238 0.268
7 Sb 0.500 0.500 0.000
8 Ga 0.000 0.500 0.500